No. 1
! Sr2TcCl (PBE, relaxed); values from VASP
! * ΔE to the lowest computed polymorph: 136 meV/atom
! * space-group type: Pmmm (47)
! * magnetic moment: 1.72 μB per formula unit
! * DFT total energy: -4.041 eV per atom
&SYSTEM
  ibrav = 0, nat = 4, ntyp = 3
/
ATOMIC_SPECIES
Sr 87.62 Sr.upf
Cl 35.45 Cl.upf
Tc 98.00 Tc.upf
CELL_PARAMETERS angstrom
-1.1171 2.6792 -2.1968
-3.8273 1.0265 3.1982
3.5575 3.9377 2.9934
ATOMIC_POSITIONS crystal
Sr 0.5000 0.5000 0.3750
Sr 0.0000 0.0000 0.8749
Cl 0.5000 0.5000 0.8751
Tc 0.0000 0.0000 0.3751

No. 2
! SrTc2Cl (PBE, relaxed); values from VASP
! * ΔE to the lowest computed polymorph: 817 meV/atom
! * space-group type: F-43m (216)
! * magnetic moment: 0.48 μB per formula unit
! * DFT total energy: -5.309 eV per atom
&SYSTEM
  ibrav = 0, nat = 4, ntyp = 3
/
ATOMIC_SPECIES
Cl 35.45 Cl.upf
Sr 87.62 Sr.upf
Tc 98.00 Tc.upf
CELL_PARAMETERS angstrom
-1.5560 -1.5776 4.2077
-1.7454 -4.4065 0.3898
2.4536 -3.3304 2.3459
ATOMIC_POSITIONS crystal
Cl 0.5000 0.5000 0.5000
Sr 0.2500 0.2500 0.2500
Tc 0.0000 0.0000 0.0000
Tc 0.7500 0.7500 0.7500

No. 3
! SrTc2Cl (PBE, relaxed); values from VASP
! * ΔE to the lowest computed polymorph: 18 meV/atom
! * space-group type: Cm (8)
! * magnetic moment: 0.00 μB per formula unit
! * DFT total energy: -6.108 eV per atom
&SYSTEM
  ibrav = 0, nat = 4, ntyp = 3
/
ATOMIC_SPECIES
Sr 87.62 Sr.upf
Tc 98.00 Tc.upf
Cl 35.45 Cl.upf
CELL_PARAMETERS angstrom
4.0535 -0.0002 0.0152
2.0529 3.4952 0.0152
2.5343 1.4505 7.5317
ATOMIC_POSITIONS crystal
Sr 0.2441 0.2441 0.2391
Tc 0.7315 0.7315 0.8735
Tc 0.0451 0.0451 0.9194
Cl 0.4793 0.4793 0.4680

No. 4
! SrTc2Cl (PBE, relaxed); values from VASP
! * ΔE to the lowest computed polymorph: 409 meV/atom
! * space-group type: Imm2 (44)
! * magnetic moment: 0.00 μB per formula unit
! * DFT total energy: -5.717 eV per atom
&SYSTEM
  ibrav = 0, nat = 4, ntyp = 3
/
ATOMIC_SPECIES
Cl 35.45 Cl.upf
Sr 87.62 Sr.upf
Tc 98.00 Tc.upf
CELL_PARAMETERS angstrom
5.5286 -0.0063 0.0010
1.0312 5.4316 -0.0010
-2.2472 -3.9613 3.1343
ATOMIC_POSITIONS crystal
Cl 0.5392 0.5392 0.0000
Sr 0.2689 0.7689 0.5000
Tc 0.9297 0.9297 0.0000
Tc 0.7623 0.2623 0.5000

No. 5
! SrTc2Cl (PBE, relaxed); values from VASP
! * ΔE to the lowest computed polymorph: 651 meV/atom
! * space-group type: I-42d (122)
! * magnetic moment: 0.00 μB per formula unit
! * DFT total energy: -5.475 eV per atom
&SYSTEM
  ibrav = 0, nat = 8, ntyp = 3
/
ATOMIC_SPECIES
Cl 35.45 Cl.upf
Tc 98.00 Tc.upf
Sr 87.62 Sr.upf
CELL_PARAMETERS angstrom
-2.1100 -3.7498 -2.0381
2.6025 0.6715 -3.9297
6.1496 -6.5230 0.0740
ATOMIC_POSITIONS crystal
Cl 0.5000 0.5000 0.0000
Tc 0.3750 0.6712 0.7500
Sr 0.0000 0.0000 0.0000
Sr 0.7500 0.2500 0.5000
Tc 0.4212 0.6250 0.2500
Tc 0.3288 0.1250 0.2500
Tc 0.8750 0.5788 0.7500
Cl 0.2500 0.7500 0.5000

No. 6
! SrTc2Cl (PBE, relaxed); values from VASP
! * ΔE to the lowest computed polymorph: 1184 meV/atom
! * space-group type: P4/mmm (123)
! * magnetic moment: 0.00 μB per formula unit
! * DFT total energy: -4.942 eV per atom
&SYSTEM
  ibrav = 0, nat = 4, ntyp = 3
/
ATOMIC_SPECIES
Tc 98.00 Tc.upf
Cl 35.45 Cl.upf
Sr 87.62 Sr.upf
CELL_PARAMETERS angstrom
-1.1048 2.8218 0.4066
-1.5426 -0.9584 2.4598
6.3062 1.7982 4.6554
ATOMIC_POSITIONS crystal
Tc 0.0000 0.0000 0.0695
Tc 0.0000 0.0000 0.4305
Cl 0.5000 0.5000 0.2500
Sr 0.5000 0.5000 0.7500

No. 7
! SrTcCl3 (PBE, relaxed); values from VASP
! * ΔE to the lowest computed polymorph: 0 meV/atom
! * space-group type: Pm-3m (221)
! * magnetic moment: 1.42 μB per formula unit
! * DFT total energy: -4.293 eV per atom
&SYSTEM
  ibrav = 0, nat = 5, ntyp = 3
/
ATOMIC_SPECIES
Cl 35.45 Cl.upf
Sr 87.62 Sr.upf
Tc 98.00 Tc.upf
CELL_PARAMETERS angstrom
4.8951 0.0000 0.0000
0.0000 4.8951 0.0000
0.0000 0.0000 4.8951
ATOMIC_POSITIONS crystal
Cl 0.0000 0.0000 0.5000
Cl 0.5000 0.0000 0.0000
Sr 0.5000 0.5000 0.5000
Tc 0.0000 0.0000 0.0000
Cl 0.0000 0.5000 0.0000

No. 8
! SrTc2Cl (PBE, relaxed); values from VASP
! * ΔE to the lowest computed polymorph: 1574 meV/atom
! * space-group type: Fm-3m (225)
! * magnetic moment: 4.73 μB per formula unit
! * DFT total energy: -4.552 eV per atom
&SYSTEM
  ibrav = 0, nat = 4, ntyp = 3
/
ATOMIC_SPECIES
Tc 98.00 Tc.upf
Cl 35.45 Cl.upf
Sr 87.62 Sr.upf
CELL_PARAMETERS angstrom
-0.7645 -0.2206 4.8238
-3.3556 -3.0630 1.8057
1.3991 -3.9498 2.5186
ATOMIC_POSITIONS crystal
Tc 0.2500 0.2500 0.2500
Tc 0.7500 0.7500 0.7500
Cl 0.0000 0.0000 0.0000
Sr 0.5000 0.5000 0.5000

No. 9
! Sr2TcCl (PBE, relaxed); values from VASP
! * ΔE to the lowest computed polymorph: 366 meV/atom
! * space-group type: I-42d (122)
! * magnetic moment: 2.23 μB per formula unit
! * DFT total energy: -3.811 eV per atom
&SYSTEM
  ibrav = 0, nat = 8, ntyp = 3
/
ATOMIC_SPECIES
Sr 87.62 Sr.upf
Tc 98.00 Tc.upf
Cl 35.45 Cl.upf
CELL_PARAMETERS angstrom
-3.3741 -2.9747 6.6290
-6.2710 -2.4992 -4.3134
-2.9299 -6.3504 0.4997
ATOMIC_POSITIONS crystal
Sr 0.3750 0.3901 0.7500
Sr 0.8750 0.8599 0.7500
Sr 0.6099 0.1250 0.2500
Tc 0.0000 0.0000 0.0000
Tc 0.7500 0.2500 0.5000
Sr 0.1401 0.6250 0.2500
Cl 0.5000 0.5000 0.0000
Cl 0.2500 0.7500 0.5000

No. 10
! SrTcCl6 (PBE, relaxed); values from VASP
! * space-group type: R-3 (148)
! * magnetic moment: 3.00 μB per formula unit
! * DFT total energy: -4.216 eV per atom
&SYSTEM
  ibrav = 0, nat = 8, ntyp = 3
/
ATOMIC_SPECIES
Cl 35.45 Cl.upf
Tc 98.00 Tc.upf
Sr 87.62 Sr.upf
CELL_PARAMETERS angstrom
6.5851 0.0094 0.0082
3.2863 5.7090 0.0110
3.2825 1.8967 6.0360
ATOMIC_POSITIONS crystal
Cl 0.2063 0.9507 0.2262
Cl 0.9508 0.6169 0.2261
Cl 0.7937 0.0493 0.7738
Tc 0.0000 0.0000 0.0000
Cl 0.0492 0.3831 0.7739
Cl 0.3833 0.7937 0.7739
Cl 0.6167 0.2063 0.2261
Sr 0.5000 0.5000 0.5000

No. 11
! SrTc2Cl (PBE, relaxed); values from VASP
! * ΔE to the lowest computed polymorph: 1127 meV/atom
! * space-group type: R-3m (166)
! * magnetic moment: 2.33 μB per formula unit
! * DFT total energy: -4.999 eV per atom
&SYSTEM
  ibrav = 0, nat = 4, ntyp = 3
/
ATOMIC_SPECIES
Cl 35.45 Cl.upf
Sr 87.62 Sr.upf
Tc 98.00 Tc.upf
CELL_PARAMETERS angstrom
9.5555 -0.0072 -0.0042
9.0709 3.0044 -0.0042
9.0709 1.4596 2.6260
ATOMIC_POSITIONS crystal
Cl 0.2500 0.2500 0.2500
Sr 0.7500 0.7500 0.7500
Tc 0.9868 0.9868 0.9868
Tc 0.5132 0.5132 0.5132

No. 12
! Sr2TcCl (PBE, relaxed); values from VASP
! * ΔE to the lowest computed polymorph: 472 meV/atom
! * space-group type: P4mm (99)
! * magnetic moment: 2.79 μB per formula unit
! * DFT total energy: -3.705 eV per atom
&SYSTEM
  ibrav = 0, nat = 4, ntyp = 3
/
ATOMIC_SPECIES
Cl 35.45 Cl.upf
Tc 98.00 Tc.upf
Sr 87.62 Sr.upf
CELL_PARAMETERS angstrom
3.6514 0.0101 0.0000
-0.0089 3.6514 0.0000
0.0000 0.0000 10.1991
ATOMIC_POSITIONS crystal
Cl 0.5000 0.5000 0.7878
Tc 0.0000 0.0000 0.4899
Sr 0.0000 0.0000 0.9298
Sr 0.5000 0.5000 0.2925